Computed, not measured: crystalline Tb4AsC2 at its relaxed geometry at the PBE-GGA level of DFT.

Structure (CIF):
```
data_Tb4AsC2
_cell_length_a 3.809
_cell_length_b 12.220
_cell_length_c 12.463
_cell_angle_alpha 90.00
_cell_angle_beta 90.00
_cell_angle_gamma 90.00
_symmetry_space_group_name_H-M 'C m c m'
_symmetry_Int_Tables_number 63
_symmetry_space_group_name_Hall '-C 2c 2'
loop_
_atom_site_label
_atom_site_type_symbol
_atom_site_fract_x
_atom_site_fract_y
_atom_site_fract_z
Tb1 Tb 0.000 0.000 0.000
Tb2 Tb 0.000 0.266 0.108
Tb3 Tb 0.000 0.434 0.750
As1 As 0.000 0.108 0.750
C1 C 0.000 0.363 0.560
```

Output
DFT formation energy: -4.36 eV per formula unit
density of states at the Fermi level: 2.78 states/eV/f.u.
calculated volume: 580 Å³/cell